1.
CaPm4Eu | PBE-GGA | optimized geometry

abc: 6.896 6.896 6.896
angles: 60.00 60.00 60.00
Fractional coordinates of all 6 atoms:
Pm: 0.126 0.625 0.625
Pm: 0.625 0.625 0.126
Pm: 0.625 0.126 0.625
Pm: 0.625 0.625 0.625
Eu: 0.000 0.000 0.000
Ca: 0.250 0.250 0.250

* DFT total energy: -5.03 eV per atom
* calculated volume: 38.6 Å³/atom

=====

2.
MnWN2 | PBE-GGA | optimized geometry

abc: 3.043 3.043 10.291
angles: 90.00 90.00 120.00
Fractional coordinates of all 8 atoms:
W: 0.333 0.667 0.792
W: 0.667 0.333 0.292
N: 0.000 0.000 0.681
N: 0.000 0.000 0.181
N: 0.333 0.667 0.442
N: 0.667 0.333 0.942
Mn: 0.000 0.000 0.985
Mn: 0.000 0.000 0.485

* DFT total energy: -9.92 eV per atom
* calculated volume: 10.3 Å³/atom
* formation energy from raw total energies: -0.229 eV per atom

=====

3.
Ac6PrTe8 | PBE-GGA | optimized geometry

abc: 9.418 9.418 9.418
angles: 60.00 60.00 60.00
Fractional coordinates of all 15 atoms:
Te: 0.753 0.753 0.247
Te: 0.247 0.753 0.753
Te: 0.753 0.247 0.753
Te: 0.750 0.750 0.750
Te: 0.250 0.250 0.250
Te: 0.753 0.247 0.247
Te: 0.247 0.247 0.753
Te: 0.247 0.753 0.247
Ac: 0.000 0.000 0.500
Ac: 0.500 0.000 0.500
Ac: 0.000 0.500 0.000
Ac: 0.500 0.000 0.000
Ac: 0.000 0.500 0.500
Ac: 0.500 0.500 0.000
Pr: 0.000 0.000 0.000

* DFT total energy: -5.15 eV per atom
* calculated volume: 39.4 Å³/atom
* formation energy from raw total energies: -1.517 eV per atom

=====

4.
SmTm12Sc2 | PBE-GGA | optimized geometry

abc: 6.206 6.206 24.864
angles: 90.00 90.00 90.00
Fractional coordinates of all 30 atoms:
Tm: 0.683 0.183 0.118
Tm: 0.170 0.670 0.560
Tm: 0.830 0.330 0.560
Tm: 0.500 0.500 0.660
Tm: 0.000 0.000 0.782
Tm: 0.683 0.817 0.882
Tm: 0.670 0.830 0.560
Tm: 0.183 0.317 0.118
Tm: 0.170 0.330 0.440
Tm: 0.330 0.830 0.440
Tm: 0.670 0.170 0.440
Tm: 0.817 0.317 0.882
Tm: 0.000 0.000 0.660
Tm: 0.317 0.817 0.118
Tm: 0.500 0.500 0.218
Tm: 0.817 0.683 0.118
Tm: 0.000 0.000 0.218
Tm: 0.500 0.500 0.782
Tm: 0.330 0.170 0.560
Tm: 0.500 0.500 0.340
Tm: 0.183 0.683 0.882
Tm: 0.830 0.670 0.440
Tm: 0.000 0.000 0.340
Tm: 0.317 0.183 0.882
Sc: 0.000 0.500 0.724
Sc: 0.500 0.000 0.276
Sc: 0.000 0.500 0.276
Sc: 0.500 0.000 0.724
Sm: 0.000 0.500 0.000
Sm: 0.500 0.000 0.000

* DFT total energy: -4.37 eV per atom
* calculated volume: 31.9 Å³/atom

=====

5.
Ni2OsW | PBE-GGA | optimized geometry

abc: 3.619 3.619 9.175
angles: 78.63 78.63 90.00
Fractional coordinates of all 8 atoms:
W: 0.250 0.750 0.500
W: 0.500 0.500 0.000
Os: 0.000 0.000 0.000
Os: 0.750 0.250 0.500
Ni: 0.875 0.884 0.750
Ni: 0.116 0.625 0.250
Ni: 0.375 0.366 0.750
Ni: 0.634 0.125 0.250

* DFT total energy: -8.40 eV per atom
* energy relative to the lowest polymorph listed for this composition: 0.571 eV/atom
* calculated volume: 14.4 Å³/atom

=====

6.
TlZnCr2 | PBE-GGA | optimized geometry

abc: 3.777 3.777 9.857
angles: 78.96 78.96 90.00
Fractional coordinates of all 8 atoms:
Cr: 0.202 0.625 0.250
Cr: 0.875 0.798 0.750
Cr: 0.375 0.452 0.750
Cr: 0.548 0.125 0.250
Zn: 0.500 0.500 0.000
Zn: 0.250 0.750 0.500
Tl: 0.000 0.000 0.000
Tl: 0.750 0.250 0.500

* DFT total energy: -4.78 eV per atom
* calculated volume: 16.9 Å³/atom

=====

7.
CsI2 | PBE-GGA | optimized geometry

abc: 10.098 6.534 5.255
angles: 90.00 90.00 90.00
Fractional coordinates of all 6 atoms:
I: 0.750 0.250 0.500
I: 0.250 0.750 0.500
I: 0.750 0.750 0.500
I: 0.250 0.250 0.500
Cs: 0.500 0.500 0.000
Cs: 0.000 0.000 0.000

* DFT total energy: -2.36 eV per atom
* energy relative to the lowest polymorph listed for this composition: 0.017 eV/atom
* calculated volume: 57.8 Å³/atom
* formation energy from raw total energies: -1.046 eV per atom

=====

8.
Ti2CdTcH | PBE-GGA | optimized geometry

abc: 4.288 4.288 3.728
angles: 90.00 90.00 90.00
Fractional coordinates of all 5 atoms:
Tc: 0.000 0.000 0.500
H: 0.000 0.000 0.000
Cd: 0.500 0.500 0.500
Ti: 0.000 0.500 0.000
Ti: 0.500 0.000 0.000

* DFT total energy: -6.24 eV per atom
* energy relative to the lowest polymorph listed for this composition: 0.000 eV/atom
* calculated volume: 13.7 Å³/atom